Below is an optimized crystal structure of Ba2MgMn2O6, with properties calculated at the PBE with a Hubbard U level.

The structure belongs to space group R-3m (No. 166, hexagonal axes); the cell edges are 5.8866, 5.8866 and 16.3045 Å and the angles 90.00°, 90.00° and 120.00°. The inequivalent atoms are Ba at (0.0000, 0.0000, 0.2269), Mg at (0.0000, 0.0000, 0.0000), Mn at (0.0000, 0.0000, 0.4366) and O at (0.0061, 0.5030, 0.7467).

The calculation puts the volume at 489.3 Å³ per cell. For the total magnetic moment, the calculation gives 2.000 μB per formula unit. The value obtained for the energy is -68.861 eV per formula unit.